Entry from the Alexandria database: a geometry-optimized Rb4YNp3O12 structure (PBE-GGA).

Results
Energy relative to the elements, uncorrected, eV/f.u.: -53.91
Magnetization, μB/atom: 0.200

Cell: 7.506 7.506 7.506 Å, 109.47 109.47 109.47°
Site moments in Bohr magnetons follow the coordinates.
Positions (direct):
O1 0.000 0.267 0.267  -0.06
O2 0.250 0.500 0.750  -0.07
O3 0.267 0.000 0.267  -0.06
O4 0.500 0.750 0.250  -0.07
O5 0.000 0.733 0.733  -0.06
O6 0.750 0.250 0.500  -0.07
O7 0.733 0.733 0.000  -0.06
O8 0.267 0.267 0.000  -0.06
O9 0.500 0.250 0.750  -0.07
O10 0.733 0.000 0.733  -0.06
O11 0.750 0.500 0.250  -0.07
O12 0.250 0.750 0.500  -0.07
Np1 0.500 0.000 0.500  1.58
Np2 0.000 0.500 0.500  1.58
Np3 0.500 0.500 0.000  1.58
Rb1 0.500 0.000 0.000  0.00
Rb2 0.000 0.500 0.000  0.00
Rb3 0.500 0.500 0.500  0.00
Rb4 0.000 0.000 0.500  0.00
Y1 0.000 0.000 0.000  -0.02